First-principles (GGA-PBE) data for crystalline LiCa2Ga3Au4 at its relaxed geometry, as listed in Alexandria.

Output
Energy relative to the elements ... -0.5831 eV/atom
Magnetic moment ... 0.00 μB/f.u.

a b c (Å): 4.3769 4.3769 10.9008
angles (deg): 90.00 90.00 90.00
With the nearest neighbours (Å) after each atom.
Positions (direct):
Li: 0.5000 0.5000 0.5000  4 Au 2.63
Ca: 0.5000 0.0000 0.2443  6 Ga 3.32-3.54, 8 Au 3.37-3.45, 2 Li 3.54
Ca: 0.0000 0.5000 0.7557  6 Ga 3.32-3.54, 8 Au 3.37-3.45, 2 Li 3.54
Ga: 0.0000 0.0000 0.5000  4 Au 2.63
Ga: 0.5000 0.0000 0.8663  5 Au 2.53-2.63
Ga: 0.0000 0.5000 0.1337  5 Au 2.53-2.63
Au: 0.5000 0.5000 0.0000  4 Ga 2.63
Au: 0.0000 0.0000 0.0000  4 Ga 2.63
Au: 0.5000 0.0000 0.6343  3 Ga 2.53-2.63, 2 Li 2.63
Au: 0.0000 0.5000 0.3657  3 Ga 2.53-2.63, 2 Li 2.63

***

First-principles (GGA-PBE) data for crystalline CoCuN at its relaxed geometry, as listed in Alexandria.

Output
Magnetic moment ... 0.66 μB/f.u.
Excess energy over the best structure of this formula in the dataset ... 0 meV/atom
ΔE_f (raw) ... 0.31 eV/atom

a b c (Å): 3.8807 3.8807 3.9179
angles (deg): 90.00 90.00 90.00
With the nearest neighbours (Å) after each atom.
Positions (direct):
Co: 0.0000 0.0000 0.5000  4 N 1.94
Co: 0.5000 0.5000 0.5000  4 N 1.94
Cu: 0.0000 0.5000 0.0000  2 N 1.96
Cu: 0.5000 0.0000 0.0000  2 N 1.96
N: 0.0000 0.5000 0.5001  4 Co 1.94, 2 Cu 1.96
N: 0.5000 0.0000 0.4999  4 Co 1.94, 2 Cu 1.96

***

First-principles (GGA-PBE) data for crystalline Ca5ScBi5 at its relaxed geometry, as listed in Alexandria.

Output
Energy relative to the elements ... -0.6235 eV/atom
Magnetic moment ... 0.00 μB/f.u.

a b c (Å): 6.3452 8.1299 8.8666
angles (deg): 106.58 90.00 112.97
With the nearest neighbours (Å) after each atom.
Positions (direct):
Ca: 0.6880 0.3761 0.3227  5 Bi 3.18-3.33
Ca: 0.6759 0.3518 0.8507  5 Bi 3.19-3.31
Ca: 0.0000 0.0000 0.5000  4 Bi 3.11-3.22
Ca: 0.3241 0.6482 0.1493  5 Bi 3.19-3.31
Ca: 0.3120 0.6239 0.6773  5 Bi 3.18-3.33
Sc: 0.0000 0.0000 0.0000  6 Bi 3.01-3.17
Bi: 0.8521 0.7042 0.1650  1 Sc 3.01, 5 Ca 3.11-3.20
Bi: 0.8427 0.6854 0.6784  1 Sc 3.08, 5 Ca 3.21-3.31
Bi: 0.5000 0.0000 0.0000  2 Sc 3.17, 4 Ca 3.29-3.33
Bi: 0.1573 0.3146 0.3216  1 Sc 3.08, 5 Ca 3.21-3.31
Bi: 0.1479 0.2958 0.8350  1 Sc 3.01, 5 Ca 3.11-3.20

***

First-principles (GGA-PBE) data for crystalline AgSe3 at its relaxed geometry, as listed in Alexandria.

Output
Magnetic moment ... 0.51 μB/f.u.
ΔE_f (raw) ... 0.83 eV/atom

a b c (Å): 5.1336 5.1336 5.1336
angles (deg): 90.00 90.00 90.00
With the nearest neighbours (Å) after each atom.
Positions (direct):
Ag: 0.0000 0.0000 0.0000  6 Se 2.57
Se: 0.5000 0.0000 0.0000  2 Ag 2.57
Se: 0.0000 0.5000 0.0000  2 Ag 2.57
Se: 0.0000 0.0000 0.5000  2 Ag 2.57

***

First-principles (GGA-PBE) data for crystalline AcZnCu2 at its relaxed geometry, as listed in Alexandria.

Output
Energy relative to the elements ... -0.1944 eV/atom
Magnetic moment ... 0.00 μB/f.u.

a b c (Å): 4.4545 4.3000 9.0336
angles (deg): 103.77 90.00 90.00
With the nearest neighbours (Å) after each atom.
Positions (direct):
Ac: 0.2500 0.8924 0.7848  10 Cu 3.29-3.35, 4 Zn 3.35
Ac: 0.7500 0.1076 0.2152  10 Cu 3.29-3.35, 4 Zn 3.35
Zn: 0.7500 0.3190 0.6380  5 Cu 2.47-2.57
Zn: 0.2500 0.6810 0.3620  5 Cu 2.47-2.57
Cu: 0.2500 0.2506 0.5012  4 Zn 2.47-2.53
Cu: 0.7500 0.7494 0.4988  4 Zn 2.47-2.53
Cu: 0.7500 0.4652 0.9304  2 Cu 2.54, 1 Zn 2.57
Cu: 0.2500 0.5348 0.0696  2 Cu 2.54, 1 Zn 2.57

***

First-principles (GGA-PBE) data for crystalline Ba3SiS5 at its relaxed geometry, as listed in Alexandria.

Output
Magnetic moment ... 0.00 μB/f.u.
Excess energy over the best structure of this formula in the dataset ... 23 meV/atom
ΔE_f (raw) ... -1.70 eV/atom

a b c (Å): 8.5744 8.5744 9.0900
angles (deg): 118.14 118.14 90.00
With the nearest neighbours (Å) after each atom.
Positions (direct):
Ba: 0.6667 0.1667 0.0000  8 S 3.15-3.36
Ba: 0.3333 0.8333 0.0000  8 S 3.15-3.36
Ba: 0.8333 0.6667 0.0000  8 S 3.15-3.36
Ba: 0.1667 0.3333 0.0000  8 S 3.15-3.36
Ba: 0.2500 0.2500 0.5000  10 S 3.39-3.56
Ba: 0.7500 0.7500 0.5000  10 S 3.39-3.56
Si: 0.7500 0.2500 0.5000  4 S 2.13
Si: 0.2500 0.7500 0.5000  4 S 2.13
S: 0.9845 0.4845 0.6906  1 Si 2.13
S: 0.7061 0.2061 0.6906  1 Si 2.13
S: 0.2061 0.9845 0.6906  1 Si 2.13
S: 0.4845 0.7061 0.6906  1 Si 2.13
S: 0.0155 0.5155 0.3094  1 Si 2.13
S: 0.2939 0.7939 0.3094  1 Si 2.13
S: 0.7939 0.0155 0.3094  1 Si 2.13
S: 0.5155 0.2939 0.3094  1 Si 2.13
S: 0.5000 0.5000 0.0000  6 Ba 3.20-3.39
S: 0.0000 0.0000 0.0000  6 Ba 3.20-3.39

***

First-principles (GGA-PBE) data for crystalline TlCuTe2 at its relaxed geometry, as listed in Alexandria.

Output
Magnetic moment ... 0.00 μB/f.u.
ΔE_f (raw) ... -0.09 eV/atom

a b c (Å): 7.1557 6.4554 6.3703
angles (deg): 66.12 82.12 60.02
With the nearest neighbours (Å) after each atom.
Positions (direct):
Tl: 0.2758 0.6254 0.8848  2 Cu 3.35-3.55, 6 Te 3.42-3.74
Tl: 0.6820 0.3061 0.3928  2 Cu 3.19-3.31, 3 Te 3.30-3.50
Te: 0.3127 0.9487 0.3163  2 Cu 2.57-2.71
Te: 0.7750 0.0758 0.9562  2 Cu 2.63-2.67
Te: 0.1398 0.3588 0.4887  2 Cu 2.61-2.74, 1 Te 2.91
Te: 0.7669 0.6787 0.8168  2 Cu 2.61-2.64
Cu: 0.0870 0.1969 0.9277  4 Te 2.57-2.67
Cu: 0.7382 0.7910 0.3752  4 Te 2.61-2.74

***

First-principles (GGA-PBE) data for crystalline U6Sn2C at its relaxed geometry, as listed in Alexandria.

Output
Energy relative to the elements ... -0.0598 eV/atom
Magnetic moment ... 0.00 μB/f.u.

a b c (Å): 6.3667 6.3261 9.2132
angles (deg): 90.00 91.67 90.00
With the nearest neighbours (Å) after each atom.
Positions (direct):
U: 0.9382 0.9945 0.2393  1 C 2.42, 1 U 2.57
U: 0.7160 0.7681 0.4647  1 C 2.34, 1 U 2.58
U: 0.8235 0.7632 0.0224  2 U 2.57-2.58, 1 C 2.65
U: 0.6765 0.2632 0.4776  2 U 2.57-2.58, 1 C 2.65
U: 0.7840 0.2681 0.0353  1 C 2.34, 1 U 2.58
U: 0.5618 0.4945 0.2607  1 C 2.42, 1 U 2.57
U: 0.0618 0.0055 0.7607  1 C 2.42, 1 U 2.57
U: 0.2840 0.2319 0.5353  1 C 2.34, 1 U 2.58
U: 0.1765 0.2368 0.9776  2 U 2.57-2.58, 1 C 2.65
U: 0.3235 0.7368 0.5224  2 U 2.57-2.58, 1 C 2.65
U: 0.2160 0.7319 0.9647  1 C 2.34, 1 U 2.58
U: 0.4382 0.5055 0.7393  1 C 2.42, 1 U 2.57
Sn: 0.9417 0.5010 0.7238  12 U 3.14-3.44
Sn: 0.5583 0.0010 0.7762  12 U 3.14-3.44
Sn: 0.4417 0.9990 0.2238  12 U 3.14-3.44
Sn: 0.0583 0.4990 0.2762  12 U 3.14-3.44
C: 0.5000 0.5000 0.0000  4 U 2.34-2.42
C: 0.0000 0.0000 0.5000  4 U 2.34-2.42